1.
VASP calculation (PBE) on an optimized crystal structure of In5Te.

Output
uncorrected formation energy = -0.003 eV per atom

```
In5Te
1.0
3.0235 -5.2369 0.0000
3.0235 5.2369 0.0000
0.0000 0.0000 5.3997
In Te
5 1
Direct
0.6656 0.0000 0.0000
0.3344 0.3344 0.0000
0.0000 0.6656 0.0000
0.6667 0.3333 0.5000
0.3333 0.6667 0.5000
0.0000 0.0000 0.5000
```

---

2.
VASP calculation (PBE) on an optimized crystal structure of PmYGe.

Output
formation enthalpy at 0 K = -0.556 eV per atom

```
PmYGe
1.0
4.9635 0.0000 0.0000
2.4817 4.2985 0.0000
2.4817 1.4328 4.0526
Y Ge Pm
1 1 1
Direct
0.5000 0.5000 0.5000
0.2500 0.2500 0.2500
0.0000 0.0000 0.0000
```

---

3.
VASP calculation (PBE) on an optimized crystal structure of TbCeLuCd.

Output
formation enthalpy at 0 K = 0.002 eV per atom

```
TbCeLuCd
1.0
-0.1226 0.4994 5.4056
4.5712 -0.5393 2.8808
2.2388 4.3384 2.3772
Lu Tb Ce Cd
1 1 1 1
Direct
0.2500 0.2500 0.2500
0.0000 0.0000 0.0000
0.5000 0.5000 0.5000
0.7500 0.7500 0.7500
```

---

4.
VASP calculation (PBE) on an optimized crystal structure of Zr2TiS6.

Output
uncorrected formation energy = -1.422 eV per atom

```
Zr2TiS6
1.0
-0.2796 1.8842 -3.0640
1.8518 -6.8004 -2.2267
-9.0529 0.6358 1.2172
Zr Ti S
2 1 6
Direct
0.6667 0.3335 0.8260
0.3332 0.6665 0.1740
0.0000 0.0000 0.5000
0.3020 0.6041 0.8755
0.6979 0.3959 0.1245
0.9684 0.9368 0.2197
0.6236 0.2472 0.5303
0.0316 0.0633 0.7803
0.3764 0.7528 0.4697
```

---

5.
VASP calculation (PBE) on an optimized crystal structure of Ni3Te2S.

Output
uncorrected formation energy = 0.048 eV per atom

```
Ni3Te2S
1.0
4.3580 0.0000 0.0000
0.0000 11.5668 -6.1495
0.0000 -3.5938 7.1932
Ni Te S
6 4 2
Direct
0.5000 0.0000 0.0000
0.0000 0.0000 0.0000
0.7500 0.4160 0.3014
0.2500 0.5840 0.6986
0.7500 0.1146 0.6986
0.2500 0.8854 0.3014
0.7500 0.4726 0.6858
0.7500 0.7868 0.3142
0.2500 0.5274 0.3142
0.2500 0.2132 0.6858
0.7500 0.1385 0.0000
0.2500 0.8615 0.0000
```

---

6.
VASP calculation (PBE) on an optimized crystal structure of Ac2CeMn2N6.

Output
uncorrected formation energy = -0.795 eV per atom

```
Ac2CeMn2N6
1.0
-4.4022 -3.6094 0.8154
-0.7471 -4.4700 -3.5402
1.7948 -6.1554 2.7223
Ac Ce Mn N
2 1 2 6
Direct
0.7861 0.7861 0.6416
0.2139 0.2139 0.3584
0.0000 0.0000 0.0000
0.4043 0.4043 0.7870
0.5957 0.5957 0.2130
0.7398 0.7398 0.2773
0.2431 0.7398 0.2773
0.7398 0.2431 0.2773
0.2602 0.7569 0.7227
0.7569 0.2602 0.7227
0.2602 0.2602 0.7227
```

---

7.
VASP calculation (PBE) on an optimized crystal structure of K2Mg2Be3F12.

Output
uncorrected formation energy = -3.316 eV per atom

```
K2Mg2Be3F12
1.0
10.0299 0.0000 0.0000
0.0000 10.0299 0.0000
0.0000 0.0000 10.0299
K Mg Be F
8 8 12 48
Direct
0.7014 0.7986 0.2014
0.7986 0.2014 0.7014
0.2014 0.7014 0.7986
0.2986 0.2986 0.2986
0.9353 0.5647 0.4353
0.5647 0.4353 0.9353
0.4353 0.9353 0.5647
0.0647 0.0647 0.0647
0.1465 0.3535 0.6465
0.3535 0.6465 0.1465
0.6465 0.1465 0.3535
0.8535 0.8535 0.8535
0.4146 0.0854 0.9146
0.0854 0.9146 0.4146
0.9146 0.4146 0.0854
0.5854 0.5854 0.5854
0.6261 0.4602 0.2712
0.8739 0.5398 0.7712
0.3739 0.9602 0.2288
0.1261 0.0398 0.7288
0.9602 0.2288 0.3739
0.7288 0.1261 0.0398
0.2288 0.3739 0.9602
0.5398 0.7712 0.8739
0.7712 0.8739 0.5398
0.0398 0.7288 0.1261
0.4602 0.2712 0.6261
0.2712 0.6261 0.4602
0.4171 0.6527 0.5037
0.4240 0.8128 0.2336
0.0760 0.1872 0.7336
0.8128 0.2336 0.4240
0.9782 0.4478 0.7000
0.5218 0.5522 0.2000
0.2000 0.5218 0.5522
0.5522 0.2000 0.5218
0.9478 0.8000 0.0218
0.7000 0.9782 0.4478
0.4478 0.7000 0.9782
0.3000 0.4782 0.0522
0.8000 0.0218 0.9478
0.0522 0.3000 0.4782
0.0218 0.9478 0.8000
0.4782 0.0522 0.3000
0.6527 0.5037 0.4171
0.9240 0.6872 0.7664
0.5037 0.4171 0.6527
0.9963 0.5829 0.1527
0.9171 0.8473 0.4963
0.4963 0.9171 0.8473
0.0829 0.3473 0.0037
0.5829 0.1527 0.9963
0.0037 0.0829 0.3473
0.1527 0.9963 0.5829
0.3473 0.0037 0.0829
0.8473 0.4963 0.9171
0.7570 0.4792 0.1895
0.1895 0.7570 0.4792
0.4792 0.1895 0.7570
0.0208 0.8105 0.2570
0.6895 0.7430 0.5208
0.5208 0.6895 0.7430
0.3105 0.2430 0.9792
0.8105 0.2570 0.0208
0.9792 0.3105 0.2430
0.2570 0.0208 0.8105
0.2430 0.9792 0.3105
0.7430 0.5208 0.6895
0.5760 0.3128 0.2664
0.2664 0.5760 0.3128
0.3128 0.2664 0.5760
0.1872 0.7336 0.0760
0.7664 0.9240 0.6872
0.7336 0.0760 0.1872
0.2336 0.4240 0.8128
0.6872 0.7664 0.9240
```

---

8.
VASP calculation (PBE) on an optimized crystal structure of NdZn2Ga4Cu.

Output
formation enthalpy at 0 K = -0.220 eV per atom

```
NdZn2Ga4Cu
1.0
-3.2894 -1.3702 -2.6288
0.2626 -3.9396 -2.0046
-4.8932 -5.4884 5.2542
Nd Zn Ga Cu
1 2 4 1
Direct
0.0000 0.0000 0.0000
0.7458 0.7458 0.7627
0.2542 0.2542 0.2373
0.4013 0.4013 0.7961
0.8643 0.8643 0.4071
0.1357 0.1357 0.5929
0.5987 0.5987 0.2039
0.5000 0.5000 0.5000
```

---

9.
VASP calculation (PBE) on an optimized crystal structure of Zr3Cu5O12.

Output
uncorrected formation energy = -1.622 eV per atom

```
Zr3Cu5O12
1.0
10.4627 0.0000 0.0000
-3.4876 9.8643 0.0000
-3.4876 -4.9322 8.5427
Zr Cu O
12 20 48
Direct
0.7500 0.3750 0.1250
0.8750 0.7500 0.1250
0.3750 0.7500 0.6250
0.2500 0.1250 0.3750
0.8750 0.1250 0.2500
0.3750 0.6250 0.2500
0.6250 0.3750 0.7500
0.1250 0.8750 0.7500
0.7500 0.8750 0.6250
0.6250 0.2500 0.3750
0.1250 0.2500 0.8750
0.2500 0.6250 0.8750
0.1250 0.3750 0.2500
0.0000 0.5000 0.0000
0.0000 0.0000 0.0000
0.3750 0.2500 0.1250
0.5000 0.0000 0.5000
0.5000 0.5000 0.0000
0.1250 0.7500 0.3750
0.7500 0.1250 0.8750
0.7500 0.6250 0.3750
0.3750 0.1250 0.7500
0.6250 0.8750 0.2500
0.5000 0.5000 0.5000
0.5000 0.0000 0.0000
0.0000 0.0000 0.5000
0.2500 0.3750 0.6250
0.2500 0.8750 0.1250
0.0000 0.5000 0.5000
0.8750 0.2500 0.6250
0.6250 0.7500 0.8750
0.8750 0.6250 0.7500
0.7151 0.1331 0.0441
0.3291 0.5441 0.4110
0.9559 0.3669 0.2849
0.5441 0.2151 0.1331
0.5820 0.7151 0.6709
0.9559 0.5890 0.1709
0.3291 0.7849 0.4180
0.0890 0.9180 0.1331
0.5890 0.9559 0.6709
0.7151 0.5820 0.1709
0.7849 0.4559 0.3669
0.8291 0.9110 0.0441
0.1331 0.7151 0.5441
0.3669 0.4110 0.0820
0.0820 0.9110 0.3669
0.4180 0.1331 0.5890
0.0820 0.1709 0.2151
0.4559 0.6709 0.0890
0.8291 0.9180 0.2849
0.1331 0.4180 0.0890
0.3669 0.9559 0.7849
0.5890 0.6331 0.4180
0.9110 0.8291 0.5441
0.7849 0.3291 0.9180
0.4110 0.3669 0.5820
0.0890 0.1709 0.4559
0.2151 0.6709 0.0820
0.1709 0.0820 0.7151
0.6331 0.0441 0.2151
0.8669 0.5820 0.9110
0.5441 0.3291 0.9110
0.5820 0.8669 0.4110
0.9180 0.8291 0.7849
0.9180 0.0890 0.6331
0.8669 0.2849 0.4559
0.1709 0.0890 0.9559
0.6331 0.5890 0.9180
0.4110 0.0441 0.3291
0.2849 0.4180 0.8291
0.2151 0.5441 0.6331
0.9110 0.0820 0.8669
0.6709 0.2151 0.5820
0.4559 0.7849 0.8669
0.0441 0.4110 0.8291
0.4180 0.2849 0.3291
0.0441 0.6331 0.7151
0.6709 0.4559 0.5890
0.2849 0.8669 0.9559
```

---

10.
VASP calculation (PBE) on an optimized crystal structure of TcSb2Se.

Output
uncorrected formation energy = 0.423 eV per atom

```
TcSb2Se
1.0
-2.1100 -4.2584 4.1445
4.2711 1.9709 4.1995
-2.8936 2.9084 6.3122
Sb Tc Se
4 2 2
Direct
0.6698 0.1250 0.2500
0.0802 0.6250 0.2500
0.3750 0.3302 0.7500
0.8750 0.9198 0.7500
0.0000 0.0000 0.0000
0.7500 0.2500 0.5000
0.5000 0.5000 0.0000
0.2500 0.7500 0.5000
```

---

11.
VASP calculation (PBE) on an optimized crystal structure of TbEr4Te2.

Output
uncorrected formation energy = -0.476 eV per atom

```
TbEr4Te2
1.0
5.3917 0.0000 0.0000
2.6959 4.6694 0.0000
2.6959 1.5565 8.8188
Tb Er Te
1 4 2
Direct
0.5000 0.5000 0.5000
0.7355 0.7355 0.7936
0.8659 0.8659 0.4024
0.2645 0.2645 0.2064
0.1341 0.1341 0.5976
0.6181 0.6181 0.1458
0.3819 0.3819 0.8542
```

---

12.
VASP calculation (PBE) on an optimized crystal structure of PuCuNi2.

Output
formation enthalpy at 0 K = -0.042 eV per atom

```
PuCuNi2
1.0
-3.7856 1.2539 -0.9045
-2.2294 -2.0467 -2.7499
-3.6331 -2.8430 2.0211
Ni Cu Pu
2 1 1
Direct
0.7947 0.7947 0.6160
0.2053 0.2053 0.3840
0.5000 0.5000 0.5000
0.0000 0.0000 0.0000
```